Entry from the Alexandria database: CaNb3Tl after structural relaxation (PBE).

Calculated values
Formation energy, eV/atom: 2.082
Energy, eV/atom: -4.833

abc: 4.825 4.825 4.825
angles: 90.00 90.00 90.00
Space group Pm-3m (No. 221)
Asymmetric unit:
Ca (0.000, 0.000, 0.000) (multiplicity 1)
Nb (0.000, 0.000, 0.500) (multiplicity 3)
Tl (0.500, 0.500, 0.500) (multiplicity 1)